1.
Material: MnPSe
Method: DFT, PBE
State: relaxed

## Properties
E_form (uncorrected): 0.0651 eV/atom
Space group: Fmm2
D(E_F): 1.3 states/eV/cell
Crystal system: orthorhombic

a = 7.5590 Å, b = 7.4078 Å, c = 2.8524 Å
α = 82.01°, β = 76.05°, γ = 21.94°
Last column: nearest neighbours and their distance in Å.
Atoms (fractional coordinates):
Mn 0.9930 0.9930 0.0070  2 P 2.33, 2 Se 2.55
P 0.3830 0.3830 0.6170  2 Mn 2.33
Se 0.6240 0.6240 0.3760  2 Mn 2.55, 4 Se 2.85

***

2.
Material: MnPSe
Method: DFT, PBE
State: relaxed

## Properties
E_form (uncorrected): 0.0521 eV/atom
Space group: I4mm
D(E_F): 1.7 states/eV/cell
Crystal system: tetragonal

a = 5.7305 Å, b = 5.7305 Å, c = 5.7305 Å
α = 146.58°, β = 146.58°, γ = 47.99°
Last column: nearest neighbours and their distance in Å.
Atoms (fractional coordinates):
Mn 0.9819 0.9819 0.0000  4 P 2.50, 4 Se 2.75
P 0.3962 0.3962 0.0000  1 Se 2.36, 4 Mn 2.50
Se 0.6219 0.6219 0.0000  1 P 2.36

***

3.
Material: MnTlP2Se8
Method: DFT, PBE
State: relaxed

## Properties
E_form (uncorrected): -0.0981 eV/atom
Space group: R-3
D(E_F): 6.8 states/eV/cell
Crystal system: trigonal

a = 6.0534 Å, b = 6.0534 Å, c = 10.7002 Å
α = 73.57°, β = 73.57°, γ = 60.00°
Last column: nearest neighbours and their distance in Å.
Atoms (fractional coordinates):
Mn 0.0000 0.0000 0.0000  6 Se 2.45
Tl 0.5000 0.5000 0.5000  6 Se 3.58
P 0.2632 0.2632 0.2105  4 Se 2.16-2.30
P 0.7368 0.7368 0.7895  4 Se 2.16-2.30
Se 0.1919 0.1919 0.4243  1 P 2.16
Se 0.6457 0.2898 0.1462  1 P 2.30, 1 Mn 2.45
Se 0.8081 0.8081 0.5757  1 P 2.16
Se 0.9183 0.6457 0.1462  1 P 2.30, 1 Mn 2.45
Se 0.0817 0.3543 0.8538  1 P 2.30, 1 Mn 2.45
Se 0.2898 0.9183 0.1462  1 P 2.30, 1 Mn 2.45
Se 0.7102 0.0817 0.8538  1 P 2.30, 1 Mn 2.45
Se 0.3543 0.7102 0.8538  1 P 2.30, 1 Mn 2.45

***

4.
Material: MnSi2P
Method: DFT, PBE
State: relaxed

## Properties
E_form (uncorrected): 0.1804 eV/atom
Space group: P4/mmm
D(E_F): 3.8 states/eV/cell
Crystal system: tetragonal

a = 2.7604 Å, b = 2.7604 Å, c = 6.7131 Å
α = 90.00°, β = 90.00°, γ = 90.00°
Last column: nearest neighbours and their distance in Å.
Atoms (fractional coordinates):
Mn 0.5000 0.5000 0.2500  8 Si 2.41
P 0.5000 0.5000 0.7500  8 Si 2.76, 4 P 2.76
Si 0.0000 0.0000 0.0399  4 Mn 2.41
Si 0.0000 0.0000 0.4601  4 Mn 2.41

***

5.
Material: MnSiP
Method: DFT, PBE
State: relaxed

## Properties
Polymorph energy (0 for the lowest one): 16.0 kJ per mole of atoms
E_form (uncorrected): -0.1162 eV/atom
Space group: Pnma
D(E_F): 5.8 states/eV/cell
Crystal system: orthorhombic

a = 3.2444 Å, b = 5.7226 Å, c = 8.3645 Å
α = 90.00°, β = 90.00°, γ = 90.00°
Last column: nearest neighbours and their distance in Å.
Atoms (fractional coordinates):
P 0.2500 0.0410 0.8911  3 Mn 2.24-2.29, 2 Si 2.41, 2 P 2.48
P 0.7500 0.4590 0.3911  3 Mn 2.24-2.29, 2 Si 2.41, 2 P 2.48
P 0.7500 0.9590 0.1089  3 Mn 2.24-2.29, 2 Si 2.41, 2 P 2.48
P 0.2500 0.5410 0.6089  3 Mn 2.24-2.29, 2 Si 2.41, 2 P 2.48
Si 0.2500 0.8578 0.3113  4 Mn 2.39-2.53, 2 P 2.41
Si 0.7500 0.6422 0.8113  4 Mn 2.39-2.53, 2 P 2.41
Si 0.7500 0.1422 0.6887  4 Mn 2.39-2.53, 2 P 2.41
Si 0.2500 0.3578 0.1887  4 Mn 2.39-2.53, 2 P 2.41
Mn 0.2500 0.2036 0.4720  3 P 2.24-2.29, 3 Si 2.39-2.46
Mn 0.7500 0.2964 0.9720  3 P 2.24-2.29, 3 Si 2.39-2.46
Mn 0.7500 0.7964 0.5280  3 P 2.24-2.29, 3 Si 2.39-2.46
Mn 0.2500 0.7036 0.0280  3 P 2.24-2.29, 3 Si 2.39-2.46

***

6.
Material: MnSiP
Method: DFT, PBE
State: relaxed

## Properties
Polymorph energy (0 for the lowest one): 5.2 kJ per mole of atoms
E_form (uncorrected): -0.2283 eV/atom
Space group: P2_1/c
D(E_F): 8.9 states/eV/cell
Crystal system: monoclinic

a = 5.8776 Å, b = 6.0535 Å, c = 5.8195 Å
α = 130.14°, β = 90.00°, γ = 90.00°
Last column: nearest neighbours and their distance in Å.
Atoms (fractional coordinates):
Si 0.3278 0.8520 0.7143  3 Mn 2.33-2.48, 2 P 2.37-2.44
Si 0.6722 0.1480 0.2857  3 Mn 2.33-2.48, 2 P 2.37-2.44
Si 0.1722 0.8520 0.2143  3 Mn 2.33-2.48, 2 P 2.37-2.44
Si 0.8278 0.1480 0.7857  3 Mn 2.33-2.48, 2 P 2.37-2.44
P 0.4041 0.3502 0.1639  3 Mn 2.26-2.32, 2 Si 2.37-2.44
P 0.5959 0.6498 0.8361  3 Mn 2.26-2.32, 2 Si 2.37-2.44
P 0.9041 0.6498 0.3361  3 Mn 2.26-2.32, 2 Si 2.37-2.44
P 0.0959 0.3502 0.6639  3 Mn 2.26-2.32, 2 Si 2.37-2.44
Mn 0.9611 0.7677 0.7954  3 P 2.26-2.32, 1 Mn 2.27, 3 Si 2.33-2.48
Mn 0.5389 0.7677 0.2954  3 P 2.26-2.32, 1 Mn 2.27, 3 Si 2.33-2.48
Mn 0.0389 0.2323 0.2046  3 P 2.26-2.32, 1 Mn 2.27, 3 Si 2.33-2.48
Mn 0.4611 0.2323 0.7046  3 P 2.26-2.32, 1 Mn 2.27, 3 Si 2.33-2.48